(1)
Te3WI | PBE-GGA | relaxed

Cell: 5.135 7.726 10.422 Å, 100.94 83.43 110.40°
Positions (direct):
Te 0.673 0.351 0.987
Te 0.997 0.093 0.144
Te 0.003 0.907 0.856
Te 0.327 0.649 0.013
Te 0.201 0.299 0.660
Te 0.799 0.701 0.340
I 0.324 0.765 0.613
I 0.676 0.235 0.387
W 0.154 0.271 0.894
W 0.846 0.729 0.106

Values from the calculation:
* symmetry: P-1, No. 2
* excess energy over the best structure of this formula in the dataset: 0 meV per atom
* energy relative to the elements, uncorrected: 0.206 eV/atom



(2)
TeWI | PBE-GGA | relaxed

Cell: 3.698 6.382 8.097 Å, 102.61 103.20 90.00°
Positions (direct):
Te 0.385 0.653 0.770
Te 0.615 0.347 0.230
I 0.848 0.127 0.697
I 0.152 0.873 0.303
W 0.242 0.337 0.484
W 0.758 0.663 0.516

Values from the calculation:
* symmetry: C2/m, No. 12
* energy relative to the elements, uncorrected: 0.029 eV/atom



(3)
Te3WI | PBE-GGA | relaxed

Cell: 5.770 5.770 5.770 Å, 90.00 90.00 90.00°
Positions (direct):
Te 0.000 0.500 0.000
Te 0.500 0.000 0.000
Te 0.000 0.000 0.500
W 0.500 0.500 0.500
I 0.000 0.000 0.000

Values from the calculation:
* symmetry: Pm-3m, No. 221
* excess energy over the best structure of this formula in the dataset: 1732 meV per atom
* energy relative to the elements, uncorrected: 1.938 eV/atom



(4)
TeW3I | PBE-GGA | relaxed

Cell: 4.971 4.971 4.971 Å, 90.00 90.00 90.00°
Positions (direct):
W 0.500 0.000 0.000
W 0.000 0.500 0.000
W 0.000 0.000 0.500
Te 0.000 0.000 0.000
I 0.500 0.500 0.500

Values from the calculation:
* symmetry: Pm-3m, No. 221
* excess energy over the best structure of this formula in the dataset: 0 meV per atom
* energy relative to the elements, uncorrected: 2.689 eV/atom



(5)
Te3WI | PBE-GGA | relaxed

Cell: 5.338 5.338 5.338 Å, 90.00 90.00 90.00°
Positions (direct):
I 0.500 0.500 0.500
W 0.000 0.000 0.000
Te 0.000 0.500 0.000
Te 0.500 0.000 0.000
Te 0.000 0.000 0.500

Values from the calculation:
* symmetry: Pm-3m, No. 221
* excess energy over the best structure of this formula in the dataset: 226 meV per atom
* energy relative to the elements, uncorrected: 0.433 eV/atom



(6)
ZnTeWI2 | PBE-GGA | relaxed

Cell: 5.705 5.705 5.227 Å, 90.00 90.00 90.00°
Positions (direct):
Te 0.000 0.000 0.500
W 0.000 0.000 0.000
I 0.500 0.000 0.000
I 0.000 0.500 0.000
Zn 0.500 0.500 0.500

Values from the calculation:
* symmetry: P4/mmm, No. 123
* excess energy over the best structure of this formula in the dataset: 0 meV per atom
* energy relative to the elements, uncorrected: 0.584 eV/atom